First-principles (meta-GGA SCAN) data for a crystal of Be2CdSe relaxed with PBEsol, as listed in the Alexandria database.

extended XYZ file:
```
4
Lattice="3.346 0.000 0.000 0.000 3.360 0.000 0.000 0.000 6.074" Properties=species:S:1:pos:R:3 pbc="T T T"
Be 0.000 0.000 0.000
Be 0.000 1.680 3.037
Cd 1.673 0.000 3.037
Se 1.673 1.680 0.000
```

- formation energy (no corrections) (eV per atom) = 0.41
- magnetic moment (Bohr magnetons per cell) = 0.00
- polymorph energy (0 for the lowest one) (eV/f.u.) = 0.00
- SG = Pmmm